Material: LiCePm2
Method: DFT, PBE-GGA
State: relaxed

As for the energy relative to the lowest polymorph listed for this composition: 0.192 eV/atom.

The space group is Fm-3m (No. 225) and the conventional cell measures 7.767, 7.767 and 7.767 Å, with angles of 90.00, 90.00 and 90.00 degrees. Symmetry generates all atoms from Li at (0.000, 0.000, 0.000), Ce at (0.000, 0.000, 0.500) and Pm at (0.250, 0.250, 0.250).

***

Material: Fe2CoPt
Method: DFT, PBE-GGA
State: relaxed

The space group is I-42d (No. 122) and the conventional cell measures 3.542, 3.542 and 16.358 Å, with angles of 90.00, 90.00 and 90.00 degrees. Symmetry generates all atoms from Fe at (0.196, 0.250, 0.125), Co at (0.000, 0.000, 0.000) and Pt at (0.000, 0.000, 0.500).

***

DOS at the Fermi energy
In order: 39.921, 27.436
Unit: states/eV per cell
ΔH_f (0 K)
In order: 279, 539
Unit: meV/atom